The following is a DFT calculation (PBE) of YAl3ZnAg after structural relaxation.

Geometry as POSCAR:
```
YAl3ZnAg
1.0
2.973 -6.392 0.000
2.973 6.392 0.000
0.000 0.000 6.276
Y Al Zn Ag
2 6 2 2
direct
0.192 0.808 0.750
0.808 0.192 0.250
0.219 0.219 0.000
0.219 0.219 0.500
0.371 0.629 0.250
0.629 0.371 0.750
0.781 0.781 0.000
0.781 0.781 0.500
0.408 0.592 0.750
0.592 0.408 0.250
0.160 0.840 0.250
0.840 0.160 0.750
```

Results
**ΔH_f (0 K)**: -76 meV/atom
**Space-group type**: Cmcm (63)
**Magnetization**: 0.000 μB per atom

***

The following is a DFT calculation (PBE) of Er5Tm2Ni4 after structural relaxation.

Geometry as POSCAR:
```
Er5Tm2Ni4
1.0
11.200 -1.768 0.000
11.200 1.768 0.000
-0.763 0.000 6.590
Er Tm Ni
5 2 4
direct
0.000 0.000 0.000
0.369 0.369 0.105
0.398 0.398 0.601
0.602 0.602 0.399
0.631 0.631 0.895
0.229 0.229 0.266
0.771 0.771 0.734
0.179 0.179 0.638
0.481 0.481 0.310
0.519 0.519 0.690
0.821 0.821 0.362
```

Results
**ΔH_f (0 K)**: -167 meV/atom
**Space-group type**: C2/m (12)
**Magnetization**: 0.000 μB per atom